Pm12Pt2Rh5: relaxed, PBE-GGA.

Properties
Symmetry ... C2/m
Spin magnetization ... 0.00 μB/f.u.

Unit cell a=7.4086 b=9.0749 c=9.1071 alpha=103.66 beta=90.00 gamma=114.09
Element x y z (fractional)
Pm1 0.9785 0.9570 0.1963
Pm2 0.0877 0.6486 0.8960
Pm3 0.5609 0.6486 0.8960
Pm4 0.0899 0.6930 0.4360
Pm5 0.6031 0.6930 0.4360
Pm6 0.5015 0.0030 0.7322
Pm7 0.4985 0.9970 0.2678
Pm8 0.9101 0.3070 0.5640
Pm9 0.3969 0.3070 0.5640
Pm10 0.9123 0.3514 0.1040
Pm11 0.4391 0.3514 0.1040
Pm12 0.0215 0.0430 0.8037
Pt1 0.7091 0.0000 0.0000
Pt2 0.2909 0.0000 0.0000
Rh1 0.3026 0.6052 0.6406
Rh2 0.3178 0.6357 0.1681
Rh3 0.0000 0.0000 0.5000
Rh4 0.6822 0.3644 0.8319
Rh5 0.6974 0.3948 0.3594

---

CdIn2Re: relaxed, PBE-GGA.

Properties
Symmetry ... Cmm2
Spin magnetization ... 0.00 μB/f.u.

Unit cell a=2.9020 b=2.9020 c=11.0446 alpha=90.00 beta=90.00 gamma=112.28
Element x y z (fractional)
Re1 0.0000 0.0000 0.5044
Cd1 0.5000 0.5000 0.7209
In1 0.0000 0.0000 0.9881
In2 0.5000 0.5000 0.2865

---

| no. | formation enthalpy at 0 K (eV/atom) | calculated volume (Å³/cell) | E_tot (eV for the cell shown) |
| --- | --- | --- | --- |
| 1 | -0.60 | 539.9 | -117.16 |
| 2 | 0.54 | 86.1 | -16.67 |